1.
! LiTbSc4S8 | the Alexandria database | PBE | relaxed; values from VASP
&SYSTEM
  ibrav = 0, nat = 14, ntyp = 4
/
ATOMIC_SPECIES
Li 6.94 Li.upf
Tb 158.93 Tb.upf
Sc 44.96 Sc.upf
S 32.06 S.upf
CELL_PARAMETERS angstrom
3.799 2.194 6.367
-3.799 2.194 6.367
0.000 -4.387 6.367
ATOMIC_POSITIONS angstrom
Li 0.000 0.000 0.000
Tb 0.000 0.000 12.024
Sc -1.986 -1.147 8.740
Sc 0.000 0.000 4.841
Sc 1.986 -1.147 8.740
Sc 0.000 2.293 8.740
S 0.000 -2.122 10.246
S -1.837 1.061 10.246
S 0.000 0.000 7.350
S -1.830 -1.056 13.693
S 1.837 1.061 10.246
S 0.000 0.000 16.571
S 1.830 -1.056 13.693
S 0.000 2.113 13.693
! Magnetization in Bohr magnetons per cell: 0.000
! Calculated volume in Å³ per cell: 318.41
! SG: R3m
! E in eV/atom: -6.484
! ΔE_f (raw) in meV/atom: -1849

---

2.
! Sr2GaGe2Au6 | the Alexandria database | PBE | relaxed; values from VASP
&SYSTEM
  ibrav = 0, nat = 11, ntyp = 4
/
ATOMIC_SPECIES
Sr 87.62 Sr.upf
Ga 69.72 Ga.upf
Ge 72.64 Ge.upf
Au 196.97 Au.upf
CELL_PARAMETERS angstrom
3.527 2.037 6.371
-3.527 2.037 6.371
0.000 -4.073 6.371
ATOMIC_POSITIONS angstrom
Sr 0.000 0.000 4.547
Sr 0.000 0.000 14.567
Ga 0.000 0.000 9.557
Ge 0.000 0.000 1.352
Ge 0.000 0.000 17.762
Au 0.000 -1.630 7.462
Au -1.411 0.815 7.462
Au -1.411 -0.815 11.652
Au 1.411 0.815 7.462
Au 1.411 -0.815 11.652
Au 0.000 1.630 11.652
! Magnetization in Bohr magnetons per cell: 0.000
! Energy of formation from the pure elements in eV per atom: -0.369
! Calculated volume in Å³ per cell: 274.62
! SG: R-3m
! E in eV/atom: -3.577

---

3.
! RuW3 | the Alexandria database | PBE | relaxed; values from VASP
&SYSTEM
  ibrav = 0, nat = 4, ntyp = 2
/
ATOMIC_SPECIES
Ru 101.07 Ru.upf
W 183.84 W.upf
CELL_PARAMETERS angstrom
1.606 -2.225 0.000
1.606 2.225 0.000
0.000 0.000 8.769
ATOMIC_POSITIONS angstrom
Ru 0.000 0.000 0.000
W 0.000 0.000 4.384
W 1.606 0.000 2.137
W 1.606 0.000 6.632
! Magnetization in Bohr magnetons per cell: 0.370
! Energy of formation from the pure elements in eV per atom: 0.120
! Calculated volume in Å³ per cell: 62.69
! SG: Cmmm
! E in eV/atom: -11.914

---

4.
! UCoPbSe4 | the Alexandria database | PBE | relaxed; values from VASP
&SYSTEM
  ibrav = 0, nat = 14, ntyp = 4
/
ATOMIC_SPECIES
U 238.03 U.upf
Co 58.93 Co.upf
Pb 207.20 Pb.upf
Se 78.96 Se.upf
CELL_PARAMETERS angstrom
6.858 0.000 0.000
0.000 5.860 0.000
-2.302 0.000 8.273
ATOMIC_POSITIONS angstrom
U 0.600 1.465 3.698
U 3.957 4.395 4.575
Co 0.247 4.395 5.366
Co 4.309 1.465 2.908
Pb -0.648 1.465 7.913
Pb 5.205 4.395 0.361
Se -0.432 4.395 3.189
Se -1.451 4.395 7.083
Se 2.689 2.970 2.272
Se 2.689 5.821 2.272
Se 1.867 0.040 6.001
Se 1.867 2.890 6.001
Se 6.008 1.465 1.190
Se 4.989 1.465 5.084
! Magnetization in Bohr magnetons per cell: 0.374
! Calculated volume in Å³ per cell: 332.52
! SG: P2_1/m
! E in eV/atom: -5.772
! ΔE_f (raw) in meV/atom: -624

---

5.
! InAsAu | the Alexandria database | PBE | relaxed; values from VASP
&SYSTEM
  ibrav = 0, nat = 3, ntyp = 3
/
ATOMIC_SPECIES
In 114.82 In.upf
As 74.92 As.upf
Au 196.97 Au.upf
CELL_PARAMETERS angstrom
4.173 0.000 0.000
-2.086 3.614 0.000
0.000 0.000 4.537
ATOMIC_POSITIONS angstrom
In 0.000 0.000 0.000
As 2.086 1.205 1.858
Au 0.000 2.409 2.920
! Magnetization in Bohr magnetons per cell: 0.000
! Energy of formation from the pure elements in eV per atom: -0.021
! Calculated volume in Å³ per cell: 68.41
! SG: P3m1
! E in eV/atom: -3.576

---

6.
! KGe3As3 | the Alexandria database | PBE | relaxed; values from VASP
&SYSTEM
  ibrav = 0, nat = 28, ntyp = 3
/
ATOMIC_SPECIES
K 39.10 K.upf
Ge 72.64 Ge.upf
As 74.92 As.upf
CELL_PARAMETERS angstrom
10.094 0.000 0.000
0.000 3.871 0.000
0.000 0.000 19.695
ATOMIC_POSITIONS angstrom
K 2.365 0.968 1.020
K 2.682 2.903 10.867
K 7.413 0.968 8.828
K 7.729 2.903 18.675
Ge 0.248 0.968 17.056
Ge 1.326 0.968 14.698
Ge 1.439 0.968 6.733
Ge 3.608 2.903 16.581
Ge 3.722 2.903 4.851
Ge 4.799 2.903 7.209
Ge 5.295 0.968 12.486
Ge 6.373 0.968 14.844
Ge 6.486 0.968 3.114
Ge 8.656 2.903 12.961
Ge 8.769 2.903 4.996
Ge 9.846 2.903 2.639
As 0.072 0.968 12.522
As 1.620 2.903 18.023
As 2.176 0.968 4.393
As 2.872 2.903 14.241
As 3.428 0.968 8.176
As 4.975 2.903 2.675
As 5.119 0.968 17.020
As 6.667 2.903 11.519
As 7.223 0.968 5.454
As 7.919 2.903 15.302
As 8.475 0.968 1.672
As 10.022 2.903 7.172
! Magnetization in Bohr magnetons per cell: 0.000
! Energy of formation from the pure elements in eV per atom: -0.216
! Calculated volume in Å³ per cell: 769.57
! SG: Pnma
! E in eV/atom: -4.345

---

7.
! NaPtAu2 | the Alexandria database | PBE | relaxed; values from VASP
&SYSTEM
  ibrav = 0, nat = 4, ntyp = 3
/
ATOMIC_SPECIES
Na 22.99 Na.upf
Pt 195.08 Pt.upf
Au 196.97 Au.upf
CELL_PARAMETERS angstrom
4.242 0.000 0.000
0.000 4.242 0.000
0.000 0.000 3.884
ATOMIC_POSITIONS angstrom
Na 0.000 0.000 0.000
Pt 2.121 2.121 0.000
Au 0.000 2.121 1.942
Au 2.121 0.000 1.942
! Magnetization in Bohr magnetons per cell: 0.000
! Energy of formation from the pure elements in eV per atom: -0.164
! Calculated volume in Å³ per cell: 69.90
! SG: P4/mmm
! E in eV/atom: -3.642

---

8.
! DyPuPa | the Alexandria database | PBE | relaxed; values from VASP
&SYSTEM
  ibrav = 0, nat = 3, ntyp = 3
/
ATOMIC_SPECIES
Dy 162.50 Dy.upf
Pu 244.00 Pu.upf
Pa 231.04 Pa.upf
CELL_PARAMETERS angstrom
-1.706 1.706 6.895
1.706 -1.706 6.895
1.706 1.706 -6.895
ATOMIC_POSITIONS angstrom
Dy 0.000 0.000 0.000
Pu 0.000 0.000 9.515
Pa 0.000 0.000 4.555
! Magnetization in Bohr magnetons per cell: 5.780
! Energy of formation from the pure elements in eV per atom: 0.125
! Calculated volume in Å³ per cell: 80.32
! SG: I4mm
! E in eV/atom: -9.351

---

9.
! TiSb2TeP | the Alexandria database | PBE | relaxed; values from VASP
&SYSTEM
  ibrav = 0, nat = 5, ntyp = 4
/
ATOMIC_SPECIES
Ti 47.87 Ti.upf
Sb 121.76 Sb.upf
Te 127.60 Te.upf
P 30.97 P.upf
CELL_PARAMETERS angstrom
5.059 0.000 0.000
0.000 5.059 0.000
0.000 0.000 5.226
ATOMIC_POSITIONS angstrom
Ti 0.000 0.000 0.000
Sb 0.000 2.530 2.613
Sb 2.530 0.000 2.613
Te 2.530 2.530 0.000
P 2.530 2.530 2.613
! Magnetization in Bohr magnetons per cell: 0.067
! Calculated volume in Å³ per cell: 133.75
! SG: P4/mmm
! E in eV/atom: -4.236
! ΔE_f (raw) in meV/atom: 703

---

10.
! InReHg2 | the Alexandria database | PBE | relaxed; values from VASP
&SYSTEM
  ibrav = 0, nat = 4, ntyp = 3
/
ATOMIC_SPECIES
In 114.82 In.upf
Re 186.21 Re.upf
Hg 200.59 Hg.upf
CELL_PARAMETERS angstrom
1.446 -2.573 0.000
1.446 2.573 0.000
0.000 0.000 11.744
ATOMIC_POSITIONS angstrom
In 0.000 0.000 0.000
Re 1.446 0.000 2.504
Hg 0.000 0.000 5.106
Hg 1.446 0.000 8.245
! Magnetization in Bohr magnetons per cell: 0.000
! Energy of formation from the pure elements in eV per atom: 0.614
! Calculated volume in Å³ per cell: 87.35
! SG: Cmm2
! E in eV/atom: -3.333

---

11.
! BaLa2TaNi | the Alexandria database | PBE | relaxed; values from VASP
&SYSTEM
  ibrav = 0, nat = 5, ntyp = 4
/
ATOMIC_SPECIES
Ba 137.33 Ba.upf
La 138.91 La.upf
Ta 180.95 Ta.upf
Ni 58.69 Ni.upf
CELL_PARAMETERS angstrom
5.806 0.000 0.000
0.000 5.806 0.000
0.000 0.000 4.674
ATOMIC_POSITIONS angstrom
Ba 0.000 0.000 0.000
La 0.000 2.903 0.000
La 2.903 0.000 0.000
Ta 2.903 2.903 2.337
Ni 0.000 0.000 2.337
! Magnetization in Bohr magnetons per cell: 0.453
! Energy of formation from the pure elements in eV per atom: 1.661
! Calculated volume in Å³ per cell: 157.55
! SG: P4/mmm
! E in eV/atom: -4.221

---

12.
! FeBr3 | the Alexandria database | PBE | relaxed; values from VASP
&SYSTEM
  ibrav = 0, nat = 4, ntyp = 2
/
ATOMIC_SPECIES
Fe 55.84 Fe.upf
Br 79.90 Br.upf
CELL_PARAMETERS angstrom
2.598 -6.872 0.000
2.598 6.872 0.000
0.000 0.000 3.610
ATOMIC_POSITIONS angstrom
Fe 0.000 0.000 0.000
Br 2.598 5.081 1.805
Br 2.598 0.000 0.000
Br 2.598 -5.081 1.805
! Magnetization in Bohr magnetons per cell: 4.750
! Calculated volume in Å³ per cell: 128.87
! SG: Cmmm
! E in eV/atom: -3.693
! ΔE_f (raw) in meV/atom: -323

---

13.
! TmZn7Au12 | the Alexandria database | PBE | relaxed; values from VASP
&SYSTEM
  ibrav = 0, nat = 20, ntyp = 3
/
ATOMIC_SPECIES
Tm 168.93 Tm.upf
Zn 65.41 Zn.upf
Au 196.97 Au.upf
CELL_PARAMETERS angstrom
-4.773 4.773 4.773
4.773 -4.773 4.773
4.773 4.773 -4.773
ATOMIC_POSITIONS angstrom
Tm 0.000 0.000 0.000
Zn 2.387 2.387 -2.387
Zn 2.387 -2.387 2.387
Zn 4.773 0.000 0.000
Zn -2.387 2.387 2.387
Zn 0.000 4.773 0.000
Zn 0.000 0.000 4.773
Zn 2.387 2.387 2.387
Au 4.773 3.316 -2.149
Au 2.624 0.000 1.458
Au 6.922 0.000 1.458
Au 1.458 2.624 0.000
Au 3.316 -2.149 4.773
Au 0.000 1.458 2.624
Au 4.773 3.316 2.149
Au 1.458 6.922 0.000
Au 3.316 2.149 4.773
Au -2.149 4.773 3.316
Au 2.149 4.773 3.316
Au 0.000 1.458 6.922
! Magnetization in Bohr magnetons per cell: 0.000
! Energy of formation from the pure elements in eV per atom: -0.044
! Calculated volume in Å³ per cell: 434.98
! SG: Im-3
! E in eV/atom: -2.680

---

14.
! ZrAlSb2Te | the Alexandria database | PBE | relaxed; values from VASP
&SYSTEM
  ibrav = 0, nat = 5, ntyp = 4
/
ATOMIC_SPECIES
Zr 91.22 Zr.upf
Al 26.98 Al.upf
Sb 121.76 Sb.upf
Te 127.60 Te.upf
CELL_PARAMETERS angstrom
5.165 0.000 0.000
0.000 5.165 0.000
0.000 0.000 5.332
ATOMIC_POSITIONS angstrom
Zr 0.000 0.000 0.000
Al 2.583 2.583 2.666
Sb 0.000 2.583 2.666
Sb 2.583 0.000 2.666
Te 2.583 2.583 0.000
! Magnetization in Bohr magnetons per cell: 1.096
! Calculated volume in Å³ per cell: 142.26
! SG: P4/mmm
! E in eV/atom: -4.195
! ΔE_f (raw) in meV/atom: 540

---

15.
! Na2Sr6S | the Alexandria database | PBE | relaxed; values from VASP
&SYSTEM
  ibrav = 0, nat = 18, ntyp = 3
/
ATOMIC_SPECIES
Na 22.99 Na.upf
Sr 87.62 Sr.upf
S 32.06 S.upf
CELL_PARAMETERS angstrom
8.223 0.000 0.000
0.000 8.248 0.000
-8.185 0.000 12.197
ATOMIC_POSITIONS angstrom
Na -0.087 0.170 3.048
Na -4.180 3.954 9.147
Na 4.218 4.294 3.050
Na 0.125 8.078 9.149
Sr -6.468 1.675 12.000
Sr -2.375 2.448 5.901
Sr -5.737 5.853 12.011
Sr -1.644 6.519 5.913
Sr 0.314 4.135 3.034
Sr -3.779 8.237 9.132
Sr 3.817 0.011 3.065
Sr -0.276 4.113 9.163
Sr 1.682 1.729 6.284
Sr 5.775 2.395 0.186
Sr 2.413 5.799 6.296
Sr 6.506 6.572 0.197
S -4.093 0.000 6.099
S 0.000 4.124 0.000
! Magnetization in Bohr magnetons per cell: 0.003
! Calculated volume in Å³ per cell: 827.24
! SG: P2_1/c
! E in eV/atom: -2.252
! ΔE_f (raw) in meV/atom: -379

---

16.
! SrLa2GaOs | the Alexandria database | PBE | relaxed; values from VASP
&SYSTEM
  ibrav = 0, nat = 5, ntyp = 4
/
ATOMIC_SPECIES
Sr 87.62 Sr.upf
La 138.91 La.upf
Ga 69.72 Ga.upf
Os 190.23 Os.upf
CELL_PARAMETERS angstrom
5.615 0.000 0.000
0.000 5.615 0.000
0.000 0.000 5.096
ATOMIC_POSITIONS angstrom
Sr 0.000 0.000 0.000
La 0.000 2.808 2.548
La 2.808 0.000 2.548
Ga 2.808 2.808 0.000
Os 2.808 2.808 2.548
! Magnetization in Bohr magnetons per cell: 0.000
! Energy of formation from the pure elements in eV per atom: -0.117
! Calculated volume in Å³ per cell: 160.67
! SG: P4/mmm
! E in eV/atom: -5.276

---

17.
! Cd5BiPb5 | the Alexandria database | PBE | relaxed; values from VASP
&SYSTEM
  ibrav = 0, nat = 11, ntyp = 3
/
ATOMIC_SPECIES
Cd 112.41 Cd.upf
Bi 208.98 Bi.upf
Pb 207.20 Pb.upf
CELL_PARAMETERS angstrom
5.736 0.000 0.000
-2.868 4.967 0.000
0.000 0.000 11.023
ATOMIC_POSITIONS angstrom
Cd 0.000 0.000 2.541
Cd 0.000 0.000 8.481
Cd 1.460 0.843 0.000
Cd 4.276 0.843 0.000
Cd 2.868 3.282 0.000
Bi 0.000 3.312 5.511
Pb 0.000 0.000 5.511
Pb 0.000 3.312 2.067
Pb 0.000 3.312 8.956
Pb 2.868 1.656 3.807
Pb 2.868 1.656 7.216
! Magnetization in Bohr magnetons per cell: 0.000
! Energy of formation from the pure elements in eV per atom: 0.059
! Calculated volume in Å³ per cell: 314.07
! SG: P-6m2
! E in eV/atom: -2.396

---

18.
! RbLiHg2F6 | the Alexandria database | PBE | relaxed; values from VASP
&SYSTEM
  ibrav = 0, nat = 20, ntyp = 4
/
ATOMIC_SPECIES
Rb 85.47 Rb.upf
Li 6.94 Li.upf
Hg 200.59 Hg.upf
F 19.00 F.upf
CELL_PARAMETERS angstrom
5.863 -5.033 0.000
5.863 5.033 0.000
-2.852 0.000 6.048
ATOMIC_POSITIONS angstrom
Rb 3.724 2.941 4.536
Rb 5.150 -2.941 1.512
Li 5.150 3.508 1.512
Li 3.724 -3.508 4.536
Hg 2.910 0.717 0.492
Hg 1.484 -0.717 3.516
Hg 7.390 0.717 2.532
Hg 5.964 -0.717 5.556
F -0.567 0.449 4.235
F 4.413 2.504 0.098
F 0.859 -0.449 1.211
F 2.851 0.942 2.748
F 5.887 2.504 2.926
F 1.425 -0.942 5.772
F 7.449 0.942 0.276
F 2.987 -2.504 3.122
F 6.023 -0.942 3.300
F 8.015 0.449 4.837
F 4.461 -2.504 5.950
F 9.441 -0.449 1.813
! Magnetization in Bohr magnetons per cell: 0.000
! Calculated volume in Å³ per cell: 356.98
! SG: C2/c
! E in eV/atom: -3.456
! ΔE_f (raw) in meV/atom: -1985

---

19.
! Ga2Hg2As | the Alexandria database | PBE | relaxed; values from VASP
&SYSTEM
  ibrav = 0, nat = 10, ntyp = 3
/
ATOMIC_SPECIES
Ga 69.72 Ga.upf
Hg 200.59 Hg.upf
As 74.92 As.upf
CELL_PARAMETERS angstrom
8.468 0.000 0.000
0.000 8.468 0.000
0.000 0.000 3.115
ATOMIC_POSITIONS angstrom
Ga 0.998 3.236 0.000
Ga 3.236 7.470 0.000
Ga 5.232 0.998 0.000
Ga 7.470 5.232 0.000
Hg 1.551 5.785 1.558
Hg 2.682 1.551 1.558
Hg 5.785 6.916 1.558
Hg 6.916 2.682 1.558
As 0.000 0.000 1.558
As 4.234 4.234 1.558
! Magnetization in Bohr magnetons per cell: 0.000
! Energy of formation from the pure elements in eV per atom: 0.219
! Calculated volume in Å³ per cell: 223.36
! SG: P4/mbm
! E in eV/atom: -2.042

---

20.
! Cu6AgAu5 | the Alexandria database | PBE | relaxed; values from VASP
&SYSTEM
  ibrav = 0, nat = 12, ntyp = 3
/
ATOMIC_SPECIES
Cu 63.55 Cu.upf
Ag 107.87 Ag.upf
Au 196.97 Au.upf
CELL_PARAMETERS angstrom
4.088 0.000 0.000
0.000 7.250 0.000
-1.957 0.000 6.104
ATOMIC_POSITIONS angstrom
Cu 0.000 1.808 0.000
Cu 0.000 5.443 0.000
Cu 0.060 1.814 4.056
Cu 0.060 5.436 4.056
Cu 2.071 1.814 2.048
Cu 2.071 5.436 2.048
Ag 2.044 3.625 0.000
Au 0.027 3.625 2.018
Au 0.030 0.000 2.028
Au 2.044 0.000 0.000
Au 2.101 0.000 4.076
Au 2.103 3.625 4.086
! Magnetization in Bohr magnetons per cell: 0.000
! Energy of formation from the pure elements in eV per atom: -0.028
! Calculated volume in Å³ per cell: 180.91
! SG: P2/m
! E in eV/atom: -3.679

---

21.
! NaGaSbH | the Alexandria database | PBE | relaxed; values from VASP
&SYSTEM
  ibrav = 0, nat = 8, ntyp = 4
/
ATOMIC_SPECIES
Na 22.99 Na.upf
Ga 69.72 Ga.upf
Sb 121.76 Sb.upf
H 1.01 H.upf
CELL_PARAMETERS angstrom
2.148 1.240 11.208
-2.148 1.240 11.208
0.000 -2.481 11.208
ATOMIC_POSITIONS angstrom
Na 0.000 0.000 0.000
Na 0.000 0.000 16.812
Ga 0.000 0.000 7.931
Ga 0.000 0.000 25.693
Sb 0.000 0.000 13.466
Sb 0.000 0.000 20.158
H 0.000 0.000 6.289
H 0.000 0.000 27.336
! Magnetization in Bohr magnetons per cell: 0.000
! Calculated volume in Å³ per cell: 179.21
! SG: R-3m
! E in eV/atom: -3.198

---

22.
! Na2SrTi3O8 | the Alexandria database | PBE | relaxed; values from VASP
&SYSTEM
  ibrav = 0, nat = 14, ntyp = 4
/
ATOMIC_SPECIES
Na 22.99 Na.upf
Sr 87.62 Sr.upf
Ti 47.87 Ti.upf
O 16.00 O.upf
CELL_PARAMETERS angstrom
3.076 1.776 5.642
-3.076 1.776 5.642
0.000 -3.552 5.642
ATOMIC_POSITIONS angstrom
Na 0.000 0.000 0.000
Na 0.000 0.000 6.410
Sr 0.000 0.000 10.619
Ti 0.000 -1.757 2.807
Ti -1.521 0.878 2.807
Ti 1.521 0.878 2.807
O -1.736 -1.002 9.482
O 0.000 0.000 3.940
O 0.000 -1.979 7.446
O -1.714 0.990 7.446
O 1.736 -1.002 9.482
O 0.000 2.004 9.482
O 0.000 0.000 13.026
O 1.714 0.990 7.446
! Magnetization in Bohr magnetons per cell: 0.000
! Calculated volume in Å³ per cell: 184.92
! SG: R3m
! E in eV/atom: -7.548
! ΔE_f (raw) in meV/atom: -2715